[1]
KCaAg2 after structural relaxation, computed with GGA-PBE.

The structure belongs to space group C2/m (No. 12); the cell edges are 7.6749, 4.1424 and 8.7704 Å and the angles 90.00°, 104.32° and 90.00°. The distinct sites, in fractional coordinates, are K at (0.0000, 0.0000, 0.0000), Ca at (0.0000, 0.5000, 0.5000) and Ag at (0.2386, 0.0000, 0.7144).

The value obtained for the formation energy is 0.11 eV per formula unit. For the distance to the lowest polymorph of the same formula, the calculation gives 0.163 eV/atom. For the magnetic moment, the calculation gives 0.00 μB per cell.

***

[2]
NaY4TmSe8 after structural relaxation, computed with GGA-PBE.

The structure belongs to space group R3m (No. 160, hexagonal axes); the cell edges are 8.4648, 8.4648 and 20.5997 Å and the angles 90.00°, 90.00° and 120.00°. The distinct sites, in fractional coordinates, are Na at (0.0000, 0.0000, 0.0000), Y at (0.0000, 0.0000, 0.2483), Y at (0.1733, 0.3466, 0.4556), Tm at (0.0000, 0.0000, 0.6291), Se at (0.0000, 0.0000, 0.3819), Se at (0.0000, 0.0000, 0.8645), Se at (0.0281, 0.5140, 0.3760) and Se at (0.1788, 0.3576, 0.2055).

The uncorrected formation energy is -24.875 eV per formula unit. For the magnetic moment, the calculation gives 0.00 μB per cell.

***

[3]
SrYPdRh after structural relaxation, computed with GGA-PBE.

The structure belongs to space group F-43m (No. 216); the cell edges are 7.1207, 7.1207 and 7.1207 Å and the angles 90.00°, 90.00° and 90.00°. The distinct sites, in fractional coordinates, are Sr at (0.0000, 0.0000, 0.0000), Y at (0.0000, 0.0000, 0.5000), Pd at (0.2500, 0.2500, 0.2500) and Rh at (0.2500, 0.2500, 0.7500).

The value obtained for the formation energy is -2.16 eV per formula unit. For the magnetic moment, the calculation gives 0.00 μB per cell.

***

[4]
TaCrCo2 after structural relaxation, computed with GGA-PBE.

The structure belongs to space group I4/mmm (No. 139); the cell edges are 3.7138, 3.7138 and 7.2731 Å and the angles 90.00°, 90.00° and 90.00°. The distinct sites, in fractional coordinates, are Ta at (0.0000, 0.0000, 0.0000), Cr at (0.0000, 0.0000, 0.5000) and Co at (0.0000, 0.5000, 0.2500).

The value obtained for the formation energy is -0.09 eV per formula unit. For the distance to the lowest polymorph of the same formula, the calculation gives 0.018 eV/atom. For the magnetic moment, the calculation gives 0.22 μB per cell.

***

[5]
BeCrAsSe2 after structural relaxation, computed with GGA-PBE.

The structure belongs to space group P4/mmm (No. 123); the cell edges are 4.7707, 4.7707 and 4.6588 Å and the angles 90.00°, 90.00° and 90.00°. The distinct sites, in fractional coordinates, are Be at (0.0000, 0.0000, 0.0000), Cr at (0.5000, 0.5000, 0.5000), As at (0.5000, 0.5000, 0.0000) and Se at (0.0000, 0.5000, 0.5000).

The uncorrected formation energy is 3.523 eV per formula unit. For the distance to the lowest polymorph of the same formula, the calculation gives 0.000 eV/atom. For the magnetic moment, the calculation gives 1.43 μB per cell.

***

[6]
Pu6SbPb after structural relaxation, computed with GGA-PBE.

The structure belongs to space group P4/mmm (No. 123); the cell edges are 4.7508, 4.7508 and 9.4763 Å and the angles 90.00°, 90.00° and 90.00°. The distinct sites, in fractional coordinates, are Pu at (0.0000, 0.0000, 0.0000), Pu at (0.0000, 0.0000, 0.5000), Pu at (0.0000, 0.5000, 0.2469), Sb at (0.5000, 0.5000, 0.0000) and Pb at (0.5000, 0.5000, 0.5000).

The uncorrected formation energy is -1.495 eV per formula unit. For the magnetic moment, the calculation gives 35.93 μB per cell.